# 1
Ho2HgH2 | PBE-GGA | relaxed

final energy = -3.88 eV/atom
SG = I4/mmm, No. 139

Cell lengths 3.727, 3.727, 6.565 Å; angles 106.49, 106.49, 90.00 degrees
Atoms (fractional coordinates):
Ho 0.650 0.650 0.301
Ho 0.350 0.350 0.699
H 0.750 0.250 0.500
H 0.250 0.750 0.500
Hg 0.000 0.000 0.000

=====

# 2
NbTc2Mo | PBE-GGA | relaxed

final energy = -10.53 eV/atom
SG = P4/mmm, No. 123
energy above the lowest structure with this stoichiometry = 1.2 meV/atom
calculated formation energy = -0.120 eV per atom

Cell lengths 3.153, 4.473, 4.473 Å; angles 90.00, 90.00, 90.00 degrees
Atoms (fractional coordinates):
Nb 0.500 0.000 0.000
Tc 0.000 0.500 0.000
Tc 0.000 0.000 0.500
Mo 0.500 0.500 0.500

=====

# 3
Sm2HoTmAs4 | PBE-GGA | relaxed

final energy = -6.15 eV/atom
SG = P2/m, No. 10
calculated formation energy = -1.518 eV per atom

Cell lengths 4.151, 7.182, 7.186 Å; angles 70.52, 90.00, 90.00 degrees
Atoms (fractional coordinates):
Sm 0.000 0.000 0.000
Sm 0.500 0.000 0.500
As 0.500 0.258 0.748
As 0.500 0.742 0.252
As 0.000 0.259 0.246
As 0.000 0.741 0.754
Ho 0.000 0.500 0.500
Tm 0.500 0.500 0.000

=====

# 4
RbAlRu3 | PBE-GGA | relaxed

final energy = -5.12 eV/atom
SG = Pm-3m, No. 221
energy above the lowest structure with this stoichiometry = 0.0 meV/atom
calculated formation energy = 1.387 eV per atom

Cell lengths 4.715, 4.715, 4.715 Å; angles 90.00, 90.00, 90.00 degrees
Site moments in Bohr magnetons follow the coordinates.
Atoms (fractional coordinates):
Ru 0.000 0.500 0.000  1.11
Ru 0.000 0.000 0.500  1.12
Ru 0.500 0.000 0.000  0.79
Rb 0.500 0.500 0.500  0.01
Al 0.000 0.000 0.000  -0.03

=====

# 5
BeHg2Mo | PBE-GGA | relaxed

final energy = -3.35 eV/atom
SG = Cmm2, No. 35
calculated formation energy = 0.443 eV per atom

Cell lengths 2.841, 2.841, 8.852 Å; angles 90.00, 90.00, 100.06 degrees
Atoms (fractional coordinates):
Be 0.500 0.500 0.727
Mo 0.000 0.000 0.543
Hg 0.000 0.000 0.951
Hg 0.500 0.500 0.279

=====

# 6
AcPuGa2 | PBE-GGA | relaxed

final energy = -6.37 eV/atom
SG = Pnma, No. 62
energy above the lowest structure with this stoichiometry = 73.9 meV/atom
calculated formation energy = -0.243 eV per atom

Cell lengths 3.636, 8.220, 13.332 Å; angles 90.00, 90.00, 90.00 degrees
Atoms (fractional coordinates):
Ga 0.750 0.795 0.854
Ga 0.750 0.467 0.810
Ga 0.750 0.967 0.690
Ga 0.250 0.205 0.146
Ga 0.250 0.705 0.354
Ga 0.250 0.533 0.190
Ga 0.250 0.033 0.310
Ga 0.750 0.295 0.646
Ac 0.250 0.639 0.632
Ac 0.750 0.361 0.368
Ac 0.750 0.861 0.132
Ac 0.250 0.139 0.868
Pu 0.250 0.075 0.528
Pu 0.250 0.575 0.972
Pu 0.750 0.425 0.028
Pu 0.750 0.925 0.472

=====

# 7
CsCoS2 | PBE-GGA | relaxed

final energy = -4.61 eV/atom
SG = I-4m2, No. 119
ΔE_f (raw) = -0.5609 eV per atom

Cell lengths 3.853, 3.853, 7.116 Å; angles 105.71, 105.71, 90.00 degrees
Site moments in Bohr magnetons follow the coordinates.
Atoms (fractional coordinates):
S 0.898 0.558 0.582  0.03
S 0.544 0.204 0.874  0.03
Co 0.471 0.631 0.728  0.33
Cs 0.221 0.881 0.228  0.00

=====

# 8
CaPtSe | PBE-GGA | relaxed

final energy = -4.94 eV/atom
SG = P-6m2, No. 187
ΔE_f (raw) = -1.0953 eV per atom

Cell lengths 4.365, 4.365, 3.948 Å; angles 90.00, 90.00, 120.00 degrees
Atoms (fractional coordinates):
Pt 0.667 0.333 0.500
Ca 0.000 0.000 0.000
Se 0.333 0.667 0.500

=====

# 9
Zn4B | PBE-GGA | relaxed

final energy = -2.02 eV/atom
SG = Pm-3m, No. 221
calculated formation energy = 0.335 eV per atom

Cell lengths 4.221, 4.221, 4.221 Å; angles 90.00, 90.00, 90.00 degrees
Atoms (fractional coordinates):
Zn 0.000 0.500 0.500
Zn 0.000 0.000 0.000
Zn 0.500 0.000 0.500
Zn 0.500 0.500 0.000
B 0.500 0.500 0.500

=====

# 10
RbInHgO3 | PBE-GGA | relaxed

final energy = -4.14 eV/atom
SG = P2_1/m, No. 11
ΔE_f (raw) = -0.9902 eV per atom

Cell lengths 3.363, 6.767, 10.543 Å; angles 107.63, 90.00, 90.00 degrees
Atoms (fractional coordinates):
In 0.250 0.686 0.099
In 0.750 0.314 0.901
O 0.250 0.763 0.490
O 0.750 0.467 0.111
O 0.250 0.533 0.889
O 0.250 0.100 0.829
O 0.750 0.900 0.171
O 0.750 0.237 0.510
Rb 0.750 0.698 0.700
Rb 0.250 0.302 0.300
Hg 0.750 0.851 0.377
Hg 0.250 0.149 0.623

=====

# 11
HgH4Br | PBE-GGA | relaxed

final energy = -2.64 eV/atom
SG = C2/m, No. 12

Cell lengths 4.204, 7.701, 8.086 Å; angles 135.79, 74.94, 74.16 degrees
Atoms (fractional coordinates):
H 0.428 0.326 0.317
H 0.417 0.858 0.807
H 0.583 0.142 0.193
H 0.572 0.674 0.683
Br 0.000 0.500 0.000
Hg 0.000 0.000 0.500

=====

# 12
GaTcMo2Cl | PBE-GGA | relaxed

final energy = -5.30 eV/atom
SG = P4/mmm, No. 123
ΔE_f (raw) = 2.0826 eV per atom

Cell lengths 4.784, 4.557, 4.784 Å; angles 90.00, 90.00, 90.00 degrees
Site moments in Bohr magnetons follow the coordinates.
Atoms (fractional coordinates):
Mo 0.000 0.000 0.500  0.72
Mo 0.500 0.000 0.000  0.56
Ga 0.000 0.000 0.000  0.05
Tc 0.500 0.500 0.500  2.43
Cl 0.000 0.500 0.000  0.15

=====

# 13
GaRe2Se | PBE-GGA | relaxed

final energy = -7.19 eV/atom
SG = I-42d, No. 122
ΔE_f (raw) = 0.6609 eV per atom
energy above the lowest structure with this stoichiometry = 136.4 meV/atom

Cell lengths 4.001, 4.001, 9.271 Å; angles 77.54, 77.54, 90.00 degrees
Atoms (fractional coordinates):
Re 0.068 0.625 0.250
Re 0.875 0.932 0.750
Re 0.682 0.125 0.250
Re 0.375 0.318 0.750
Ga 0.500 0.500 0.000
Ga 0.250 0.750 0.500
Se 0.000 0.000 0.000
Se 0.750 0.250 0.500